Here is an optimized crystal structure of NdZn2In2Au2 from Alexandria. Energies are from PBE-GGA.

Formation enthalpy at 0 K (eV per atom): -0.386
D(E_F) (states/eV per atom): 0.628

Geometry as CIF:
```
data_NdZn2In2Au2
_space_group_name_H-M_alt 'R -3 m'
_space_group_IT_number 166
_space_group_name_Hall '-R 3 2"'
_cell_length_a 4.5657
_cell_length_b 4.5657
_cell_length_c 25.8409
_cell_angle_alpha 90.00
_cell_angle_beta 90.00
_cell_angle_gamma 120.00
loop_
_atom_site_label
_atom_site_type_symbol
_atom_site_fract_x
_atom_site_fract_y
_atom_site_fract_z
Nd1 Nd 0.0000 0.0000 0.0000
Zn1 Zn 0.0000 0.0000 0.2548
In1 In 0.0000 0.0000 0.1343
Au1 Au 0.0000 0.0000 0.4025
```

=====

Here is an optimized crystal structure of NdZnInAu from Alexandria. Energies are from PBE-GGA.

Formation enthalpy at 0 K (eV per atom): -0.527
D(E_F) (states/eV per atom): 0.396

Geometry as CIF:
```
data_NdZnInAu
_space_group_name_H-M_alt 'F -4 3 m'
_space_group_IT_number 216
_space_group_name_Hall 'F -4 2 3'
_cell_length_a 7.080
_cell_length_b 7.080
_cell_length_c 7.080
_cell_angle_alpha 90.00
_cell_angle_beta 90.00
_cell_angle_gamma 90.00
loop_
_atom_site_label
_atom_site_type_symbol
_atom_site_fract_x
_atom_site_fract_y
_atom_site_fract_z
Nd1 Nd 0.000 0.000 0.000
Zn1 Zn 0.250 0.250 0.250
In1 In 0.000 0.000 0.500
Au1 Au 0.250 0.250 0.750
```

=====

Here is an optimized crystal structure of Nd2ZnInAu6 from Alexandria. Energies are from PBE-GGA.

Formation enthalpy at 0 K (eV per atom): -0.469
D(E_F) (states/eV per atom): 0.460

Geometry as CIF:
```
data_Nd2ZnInAu6
_space_group_name_H-M_alt 'P -1'
_space_group_IT_number 2
_cell_length_a 5.511
_cell_length_b 5.854
_cell_length_c 7.643
_cell_angle_alpha 105.35
_cell_angle_beta 93.97
_cell_angle_gamma 103.92
loop_
_space_group_symop_operation_xyz
'x,y,z'
'-x,-y,-z'
loop_
_atom_site_label
_atom_site_type_symbol
_atom_site_fract_x
_atom_site_fract_y
_atom_site_fract_z
Nd1 Nd 0.205 0.450 0.279
Zn1 Zn 0.500 0.000 0.000
In1 In 0.000 0.000 0.500
Au1 Au 0.074 0.880 0.129
Au2 Au 0.306 0.527 0.876
Au3 Au 0.420 0.857 0.631
```

=====

Question: What is the formula in the third record?
Answer: Nd2ZnInAu6

=====

What did the third record say?
Here is an optimized crystal structure of Nd2ZnInAu6 from Alexandria. Energies are from PBE-GGA.

Formation enthalpy at 0 K (eV per atom): -0.469
D(E_F) (states/eV per atom): 0.460

Geometry as CIF:
```
data_Nd2ZnInAu6
_space_group_name_H-M_alt 'P -1'
_space_group_IT_number 2
_cell_length_a 5.511
_cell_length_b 5.854
_cell_length_c 7.643
_cell_angle_alpha 105.35
_cell_angle_beta 93.97
_cell_angle_gamma 103.92
loop_
_space_group_symop_operation_xyz
'x,y,z'
'-x,-y,-z'
loop_
_atom_site_label
_atom_site_type_symbol
_atom_site_fract_x
_atom_site_fract_y
_atom_site_fract_z
Nd1 Nd 0.205 0.450 0.279
Zn1 Zn 0.500 0.000 0.000
In1 In 0.000 0.000 0.500
Au1 Au 0.074 0.880 0.129
Au2 Au 0.306 0.527 0.876
Au3 Au 0.420 0.857 0.631
```

=====

Please write out number 2 again, unchanged.
Here is an optimized crystal structure of NdZnInAu from Alexandria. Energies are from PBE-GGA.

Formation enthalpy at 0 K (eV per atom): -0.527
D(E_F) (states/eV per atom): 0.396

Geometry as CIF:
```
data_NdZnInAu
_space_group_name_H-M_alt 'F -4 3 m'
_space_group_IT_number 216
_space_group_name_Hall 'F -4 2 3'
_cell_length_a 7.080
_cell_length_b 7.080
_cell_length_c 7.080
_cell_angle_alpha 90.00
_cell_angle_beta 90.00
_cell_angle_gamma 90.00
loop_
_atom_site_label
_atom_site_type_symbol
_atom_site_fract_x
_atom_site_fract_y
_atom_site_fract_z
Nd1 Nd 0.000 0.000 0.000
Zn1 Zn 0.250 0.250 0.250
In1 In 0.000 0.000 0.500
Au1 Au 0.250 0.250 0.750
```

=====

Question: Look up the formation enthalpy at 0 K of the first one.
Answer: -0.386 eV per atom